[1]
# ScP2Pb

An optimized crystal structure of ScP2Pb (PBE, the Alexandria database).

The value obtained for the energy of formation from the pure elements is -1.83 eV/f.u.

The space group is R3m (No. 160, hexagonal axes) and the conventional cell measures 3.8731, 3.8731 and 20.8644 Å, with angles of 90.00, 90.00 and 120.00 degrees. The distinct sites, in fractional coordinates, are Sc at (0.0000, 0.0000, 0.0000), P at (0.0000, 0.0000, 0.4040), P at (0.0000, 0.0000, 0.5982) and Pb at (0.0000, 0.0000, 0.1689).

=====

[2]
# ScPPb2

An optimized crystal structure of ScPPb2 (PBE, the Alexandria database).

The value obtained for the energy of formation from the pure elements is 0.05 eV/f.u.

The space group is P4/mmm (No. 123) and the conventional cell measures 4.0555, 4.0555 and 5.9101 Å, with angles of 90.00, 90.00 and 90.00 degrees. The distinct sites, in fractional coordinates, are Sc at (0.0000, 0.0000, 0.0000), P at (0.0000, 0.0000, 0.5000) and Pb at (0.5000, 0.5000, 0.2518).

=====

[3]
# ScP2Pb

An optimized crystal structure of ScP2Pb (PBE, the Alexandria database).

The value obtained for the energy of formation from the pure elements is 0.97 eV/f.u.

The space group is F-43m (No. 216) and the conventional cell measures 6.8991, 6.8991 and 6.8991 Å, with angles of 90.00, 90.00 and 90.00 degrees. The distinct sites, in fractional coordinates, are Sc at (0.0000, 0.0000, 0.0000), P at (0.0000, 0.0000, 0.5000), P at (0.2500, 0.2500, 0.2500) and Pb at (0.2500, 0.2500, 0.7500).

=====

[4]
# ScP2Pb

An optimized crystal structure of ScP2Pb (PBE, the Alexandria database).

The value obtained for the energy of formation from the pure elements is -2.06 eV/f.u.

The space group is P2/m (No. 10) and the conventional cell measures 3.3858, 3.6913 and 7.0470 Å, with angles of 90.00, 91.30 and 90.00 degrees. The distinct sites, in fractional coordinates, are Sc at (0.0000, 0.0000, 0.0000), P at (0.4910, 0.5000, 0.8399) and Pb at (0.5000, 0.0000, 0.5000).

=====

[5]
# Sc4PPbSe2

An optimized crystal structure of Sc4PPbSe2 (PBE, the Alexandria database).

The raw formation energy comes out at -1242.6 meV/atom.

The space group is P2/m (No. 10) and the conventional cell measures 6.8324, 3.8837 and 6.8970 Å, with angles of 90.00, 109.00 and 90.00 degrees. The distinct sites, in fractional coordinates, are Sc at (0.2366, 0.0000, 0.2281), Sc at (0.2536, 0.5000, 0.7716), P at (0.0000, 0.5000, 0.0000), Pb at (0.0000, 0.0000, 0.5000), Se at (0.5000, 0.0000, 0.0000) and Se at (0.5000, 0.5000, 0.5000).

=====

[6]
# SrSc2PPb

An optimized crystal structure of SrSc2PPb (PBE, the Alexandria database).

The value obtained for the energy of formation from the pure elements is 5.30 eV/f.u.

The space group is P4/mmm (No. 123) and the conventional cell measures 5.4524, 5.4524 and 5.3110 Å, with angles of 90.00, 90.00 and 90.00 degrees. The distinct sites, in fractional coordinates, are Sr at (0.0000, 0.0000, 0.0000), Sc at (0.0000, 0.5000, 0.0000), P at (0.0000, 0.0000, 0.5000) and Pb at (0.5000, 0.5000, 0.5000).